Material: Nd3SmHo3S8
Method: DFT, GGA-PBE
State: optimized geometry

## Properties
- ΔE_f (raw): -2.0410 eV/atom
- SG: R-3m (166)
- Calculated density: 6.2 g/cm3

Cell: 7.983 7.983 7.983 Å, 59.41 59.41 59.41°
Atoms (fractional coordinates):
Nd: 0.000 0.500 0.500
Nd: 0.500 0.000 0.500
Nd: 0.500 0.500 0.000
Sm: 0.500 0.500 0.500
Ho: 0.000 0.000 0.500
Ho: 0.000 0.500 0.000
Ho: 0.500 0.000 0.000
S: 0.237 0.752 0.752
S: 0.245 0.245 0.245
S: 0.248 0.248 0.763
S: 0.248 0.763 0.248
S: 0.752 0.237 0.752
S: 0.752 0.752 0.237
S: 0.755 0.755 0.755
S: 0.763 0.248 0.248

=====

Material: Pm2NdScS4
Method: DFT, GGA-PBE
State: optimized geometry

## Properties
- ΔE_f (raw): -1.9523 eV/atom
- SG: P2/m (10)
- Calculated density: 5.7 g/cm3

Cell: 6.879 3.924 6.919 Å, 90.00 108.92 90.00°
Atoms (fractional coordinates):
Pm: 0.000 0.000 0.000
Pm: 0.000 0.500 0.500
Nd: 0.500 0.000 0.500
Sc: 0.500 0.500 0.000
S: 0.258 0.500 0.238
S: 0.268 0.000 0.770
S: 0.732 0.000 0.230
S: 0.742 0.500 0.762